No. 1
Computed, not measured: an optimized crystal structure of Sr3Cr3FeO8 at the GGA+U level of DFT.

```
data_Sr3Cr3FeO8
_chemical_formula_sum 'Sr3 Cr3 Fe1 O8'
_symmetry_space_group_name_H-M 'P 1'
_symmetry_Int_Tables_number 1
_symmetry_space_group_name_Hall 'P 1'
_cell_length_a 6.345
_cell_length_b 6.540
_cell_length_c 6.620
_cell_angle_alpha 118.99
_cell_angle_beta 90.00
_cell_angle_gamma 119.02
loop_
_atom_site_label
_atom_site_fract_x
_atom_site_fract_y
_atom_site_fract_z
_atom_site_occupancy
O1 0.248 0.496 0.288 1
O2 0.760 0.519 0.301 1
O3 0.720 0.944 0.686 1
O4 0.280 0.056 0.314 1
O5 0.224 0.944 0.686 1
O6 0.776 0.056 0.314 1
O7 0.752 0.504 0.712 1
O8 0.240 0.481 0.699 1
Cr1 0.500 0.500 0.500 1
Cr2 0.000 0.500 0.500 1
Cr3 0.500 0.000 0.500 1
Sr1 0.000 0.000 0.000 1
Sr2 0.000 0.500 0.000 1
Sr3 0.500 0.500 0.000 1
Fe1 0.000 0.000 0.500 1
```

---

No. 2
Computed, not measured: an optimized crystal structure of Cr2FeTcO8 at the GGA+U level of DFT.

```
data_Cr2FeTcO8
_chemical_formula_sum 'Cr2 Fe1 Tc1 O8'
_symmetry_space_group_name_H-M 'P 1'
_symmetry_Int_Tables_number 1
_symmetry_space_group_name_Hall 'P 1'
_cell_length_a 4.565
_cell_length_b 4.558
_cell_length_c 5.971
_cell_angle_alpha 90.00
_cell_angle_beta 90.00
_cell_angle_gamma 90.83
loop_
_atom_site_label
_atom_site_fract_x
_atom_site_fract_y
_atom_site_fract_z
_atom_site_occupancy
Cr1 0.500 0.500 0.743 1
Cr2 0.500 0.500 0.257 1
O1 0.808 0.193 0.755 1
O2 0.699 0.700 0.500 1
O3 0.301 0.300 0.000 1
O4 0.192 0.807 0.755 1
O5 0.699 0.700 0.000 1
O6 0.301 0.300 0.500 1
O7 0.192 0.807 0.245 1
O8 0.808 0.193 0.245 1
Fe1 0.000 0.000 0.500 1
Tc1 0.000 0.000 0.000 1
```

---

Calculated total energy values (in Ha/atom) by entry order: -0.2525, -0.2673.